1.
## NaAcAl (PBE-GGA)

Data for crystalline NaAcAl at its relaxed geometry.

Summary:
Its total magnetic moment is 0.000 μB per atom. The final energy comes out at -9.1 eV per formula unit. Its energy of formation from the pure elements is 0.008 eV per atom. The value obtained for the energy relative to the lowest polymorph listed for this composition is 0 meV per atom.

abc: 3.638 3.638 31.012
angles: 90.00 90.00 90.00
Sites, in units of the cell vectors:
Na  0.000  0.000  0.057
Na  0.000  0.000  0.943
Na  0.500  0.500  0.443
Na  0.500  0.500  0.557
Ac  0.000  0.000  0.343
Ac  0.000  0.000  0.657
Ac  0.500  0.500  0.157
Ac  0.500  0.500  0.843
Al  0.000  0.000  0.230
Al  0.000  0.000  0.770
Al  0.500  0.500  0.270
Al  0.500  0.500  0.730

---

2.
## Cr2C (PBE-GGA)

Data for crystalline Cr2C at its relaxed geometry.

Summary:
Its total magnetic moment is 0.000 μB per atom. The final energy comes out at -24.0 eV per formula unit. Its energy of formation from the pure elements is 1.487 eV per atom.

abc: 3.720 3.720 5.043
angles: 90.00 90.00 120.00
Sites, in units of the cell vectors:
Cr  0.333  0.667  0.030
Cr  0.333  0.667  0.470
Cr  0.667  0.333  0.530
Cr  0.667  0.333  0.970
C  0.000  0.000  0.250
C  0.000  0.000  0.750

---

3.
## RbZn2Ge2Au6 (PBE-GGA)

Data for crystalline RbZn2Ge2Au6 at its relaxed geometry.

Summary:
Its total magnetic moment is 0.000 μB per atom. The final energy comes out at -33.3 eV per formula unit. Its energy of formation from the pure elements is -0.085 eV per atom.

abc: 6.782 6.798 7.289
angles: 108.37 100.03 118.05
Sites, in units of the cell vectors:
Rb  0.000  0.000  0.000
Zn  0.403  0.180  0.579
Zn  0.597  0.820  0.421
Ge  0.200  0.406  0.600
Ge  0.800  0.594  0.400
Au  0.140  0.705  0.272
Au  0.380  0.625  0.006
Au  0.434  0.873  0.731
Au  0.566  0.127  0.269
Au  0.620  0.375  0.994
Au  0.860  0.295  0.728

---

4.
## Pa2ReAu (PBE-GGA)

Data for crystalline Pa2ReAu at its relaxed geometry.

Summary:
Its total magnetic moment is 0.000 μB per atom. The final energy comes out at -32.9 eV per formula unit. Its energy of formation from the pure elements is 0.445 eV per atom. The value obtained for the energy relative to the lowest polymorph listed for this composition is 627 meV per atom.

abc: 3.987 3.987 26.099
angles: 90.00 90.00 120.00
Sites, in units of the cell vectors:
Pa  0.000  0.000  0.110
Pa  0.000  0.000  0.890
Pa  0.333  0.667  0.557
Pa  0.333  0.667  0.777
Pa  0.667  0.333  0.223
Pa  0.667  0.333  0.443
Re  0.000  0.000  0.500
Re  0.333  0.667  0.167
Re  0.667  0.333  0.833
Au  0.000  0.000  0.000
Au  0.333  0.667  0.667
Au  0.667  0.333  0.333

---

5.
## Sc2Se2F (PBE-GGA)

Data for crystalline Sc2Se2F at its relaxed geometry.

Summary:
Its total magnetic moment is 0.000 μB per atom. The final energy comes out at -31.3 eV per formula unit. The value obtained for the formation energy (no corrections) is -1.964 eV/atom.

abc: 7.074 7.074 3.650
angles: 90.00 90.00 90.00
Sites, in units of the cell vectors:
Sc  0.156  0.344  0.000
Sc  0.344  0.844  0.000
Sc  0.656  0.156  0.000
Sc  0.844  0.656  0.000
Se  0.149  0.649  0.500
Se  0.351  0.149  0.500
Se  0.649  0.851  0.500
Se  0.851  0.351  0.500
F  0.000  0.000  0.000
F  0.500  0.500  0.000

---

6.
## Si3NiI (PBE-GGA)

Data for crystalline Si3NiI at its relaxed geometry.

Summary:
Its total magnetic moment is 0.000 μB per atom. The final energy comes out at -23.8 eV per formula unit. The value obtained for the formation energy (no corrections) is -0.046 eV/atom. The value obtained for the energy relative to the lowest polymorph listed for this composition is 72 meV per atom.

abc: 4.169 4.211 13.555
angles: 83.36 82.43 88.07
Sites, in units of the cell vectors:
Si  0.000  0.000  0.000
Si  0.046  0.467  0.087
Si  0.109  0.051  0.814
Si  0.480  0.807  0.680
Si  0.566  0.496  0.986
Si  0.681  0.275  0.728
Ni  0.326  0.541  0.836
Ni  0.564  0.023  0.906
I  0.271  0.776  0.517
I  0.885  0.406  0.269